4
Lattice="-1.452 -6.824 -1.008 0.866 -6.962 0.690 -1.742 -6.577 1.844" Properties=species:S:1:pos:R:3 comment="PBE+U VWO2, optimized geometry" total_magnetization_mub_per_cell=2.96 n_ef_per_ev_cell=1.93 relative_energy_ev_per_atom=0.516 volume_a3_per_atom=12.3 spacegroup="R-3m (166)" crystal_system=trigonal pbc="T T T"
O -2.100 -18.374 1.377
W -1.164 -10.182 0.763
V 0.000 0.000 0.000
O -0.227 -1.989 0.149